# BeRe2S | the Alexandria database | PBE | optimized geometry
data_BeRe2S
_symmetry_space_group_name_H-M 'F m -3 m'
_symmetry_Int_Tables_number 225
_symmetry_space_group_name_Hall '-F 4 2 3'
_cell_length_a 5.8015
_cell_length_b 5.8015
_cell_length_c 5.8015
_cell_angle_alpha 90.00
_cell_angle_beta 90.00
_cell_angle_gamma 90.00
loop_
_atom_site_label
_atom_site_type_symbol
_atom_site_fract_x
_atom_site_fract_y
_atom_site_fract_z
_atom_site_occupancy
Be1 Be 0.0000 0.0000 0.0000 1
Re1 Re 0.2500 0.2500 0.2500 1
S1 S 0.0000 0.0000 0.5000 1
# **Calculated volume**: 195.3 Å³ per cell
# **Formation energy from raw total energies**: 340.1 meV per atom
# **N(E_F)**: 9.13 states/eV/cell
# **Crystal system**: cubic
# **Total DFT energy (no corrections)**: -125.558 eV for the cell shown
# **Energy above the lowest structure with this stoichiometry**: 0 meV/atom